SrLiHg2 | PBE-GGA | optimized geometry

Cell and atoms, written as CIF:
```
data_SrLiHg2
_chemical_formula_sum 'Sr1 Li1 Hg2'
_cell_length_a 3.802
_cell_length_b 4.850
_cell_length_c 5.996
_cell_angle_alpha 90.00
_cell_angle_beta 90.20
_cell_angle_gamma 90.00
_space_group_name_H-M_alt 'P 1 m 1'
_space_group_IT_number 6
loop_
_space_group_symop_operation_xyz
'x,y,z'
'x,-y,z'
loop_
_atom_site_label
_atom_site_type_symbol
_atom_site_fract_x
_atom_site_fract_y
_atom_site_fract_z
Sr1 Sr 0.000 0.000 0.000
Li1 Li 0.002 0.500 0.559
Hg1 Hg 0.500 0.000 0.525
Hg2 Hg 0.501 0.500 0.201
```

Values from the calculation:
Calculated density (Mg/m³): 7.4
E_form (meV/atom): -346
Final energy (eV per atom): -1.396

***

SrLiHg3 | PBE-GGA | optimized geometry

Cell and atoms, written as CIF:
```
data_SrLiHg3
_chemical_formula_sum 'Sr4 Li4 Hg12'
_cell_length_a 3.720
_cell_length_b 29.621
_cell_length_c 4.814
_cell_angle_alpha 90.00
_cell_angle_beta 90.00
_cell_angle_gamma 90.00
_space_group_name_H-M_alt 'C m c m'
_space_group_IT_number 63
_space_group_name_Hall '-C 2c 2'
loop_
_atom_site_label
_atom_site_type_symbol
_atom_site_fract_x
_atom_site_fract_y
_atom_site_fract_z
Sr1 Sr 0.000 0.082 0.250
Li1 Li 0.000 0.212 0.750
Hg1 Hg 0.000 0.305 0.750
Hg2 Hg 0.000 0.365 0.250
Hg3 Hg 0.000 0.472 0.250
```

Values from the calculation:
Calculated density (Mg/m³): 8.7
E_form (meV/atom): -375
ΔE to the lowest computed polymorph (eV/atom): 0.000
Final energy (eV per atom): -1.276

***

Sr2LiHg3 | PBE-GGA | optimized geometry

Cell and atoms, written as CIF:
```
data_Sr2LiHg3
_chemical_formula_sum 'Sr16 Li8 Hg24'
_cell_length_a 8.211
_cell_length_b 9.985
_cell_length_c 17.223
_cell_angle_alpha 90.00
_cell_angle_beta 90.00
_cell_angle_gamma 90.00
_space_group_name_H-M_alt 'F m m m'
_space_group_IT_number 69
_space_group_name_Hall '-F 2 2'
loop_
_atom_site_label
_atom_site_type_symbol
_atom_site_fract_x
_atom_site_fract_y
_atom_site_fract_z
Sr1 Sr 0.246 0.000 0.000
Sr2 Sr 0.250 0.250 0.250
Li1 Li 0.000 0.000 0.333
Hg1 Hg 0.000 0.000 0.174
Hg2 Hg 0.000 0.237 0.413
```

Values from the calculation:
Calculated density (Mg/m³): 7.4
E_form (meV/atom): -434
Final energy (eV per atom): -1.465

***

Sr2Li2Hg | PBE-GGA | optimized geometry

Cell and atoms, written as CIF:
```
data_Sr2Li2Hg
_chemical_formula_sum 'Sr4 Li4 Hg2'
_cell_length_a 9.002
_cell_length_b 9.002
_cell_length_c 4.623
_cell_angle_alpha 90.00
_cell_angle_beta 90.00
_cell_angle_gamma 90.00
_space_group_name_H-M_alt 'P 4/m b m'
_space_group_IT_number 127
_space_group_name_Hall '-P 4 2ab'
loop_
_atom_site_label
_atom_site_type_symbol
_atom_site_fract_x
_atom_site_fract_y
_atom_site_fract_z
Sr1 Sr 0.169 0.331 0.000
Li1 Li 0.123 0.623 0.500
Hg1 Hg 0.000 0.000 0.000
```

Values from the calculation:
Calculated density (Mg/m³): 3.5
E_form (meV/atom): 14
ΔE to the lowest computed polymorph (eV/atom): 0.233
Final energy (eV per atom): -1.485

***

Sr8LiHg2 | PBE-GGA | optimized geometry

Cell and atoms, written as CIF:
```
data_Sr8LiHg2
_chemical_formula_sum 'Sr16 Li2 Hg4'
_cell_length_a 20.698
_cell_length_b 5.742
_cell_length_c 8.357
_cell_angle_alpha 90.00
_cell_angle_beta 108.28
_cell_angle_gamma 90.00
_space_group_name_H-M_alt 'C 1 2/m 1'
_space_group_IT_number 12
loop_
_space_group_symop_operation_xyz
'x,y,z'
'-x,-y,-z'
'-x,y,-z'
'x,-y,z'
'x+1/2,y+1/2,z'
'-x+1/2,-y+1/2,-z'
'-x+1/2,y+1/2,-z'
'x+1/2,-y+1/2,z'
loop_
_atom_site_label
_atom_site_type_symbol
_atom_site_fract_x
_atom_site_fract_y
_atom_site_fract_z
Sr1 Sr 0.034 0.000 0.281
Sr2 Sr 0.098 0.500 0.977
Sr3 Sr 0.176 0.500 0.468
Sr4 Sr 0.198 0.000 0.817
Li1 Li 0.000 0.500 0.500
Hg1 Hg 0.184 0.000 0.204
```

Values from the calculation:
Calculated density (Mg/m³): 3.9
E_form (meV/atom): -169
ΔE to the lowest computed polymorph (eV/atom): 0.000
Final energy (eV per atom): -1.621

***

Sr3Li8Hg3 | PBE-GGA | optimized geometry

Cell and atoms, written as CIF:
```
data_Sr3Li8Hg3
_chemical_formula_sum 'Sr6 Li16 Hg6'
_cell_length_a 4.919
_cell_length_b 10.825
_cell_length_c 13.965
_cell_angle_alpha 90.00
_cell_angle_beta 90.00
_cell_angle_gamma 90.00
_space_group_name_H-M_alt 'I m m m'
_space_group_IT_number 71
_space_group_name_Hall '-I 2 2'
loop_
_atom_site_label
_atom_site_type_symbol
_atom_site_fract_x
_atom_site_fract_y
_atom_site_fract_z
Sr1 Sr 0.000 0.000 0.000
Sr2 Sr 0.000 0.000 0.337
Li1 Li 0.000 0.281 0.106
Li2 Li 0.000 0.346 0.313
Hg1 Hg 0.000 0.261 0.500
Hg2 Hg 0.000 0.500 0.000
```

Values from the calculation:
Calculated density (Mg/m³): 4.1
E_form (meV/atom): -203
Final energy (eV per atom): -1.722